Crystalline TbHfSi at its relaxed geometry, computed with PBE.

Properties
Total magnetization ... 0.00 μB per cell
Calculated total energy ... -20.775 eV/f.u.

Cell lengths 4.6401, 4.6401, 4.6401 Å; angles 60.00, 60.00, 60.00 degrees
Last column: nearest neighbours and their distance in Å.
Fractional coordinates of all 3 atoms:
Tb 0.0000 0.0000 0.0000  4 Si 2.84
Hf 0.5000 0.5000 0.5000  4 Si 2.84
Si 0.7500 0.7500 0.7500  4 Hf 2.84, 4 Tb 2.84

Crystalline Tb3HfSi4 at its relaxed geometry, computed with PBE.

Properties
Total magnetization ... 0.01 μB per cell
Calculated total energy ... -51.765 eV/f.u.

Cell lengths 5.6068, 3.8043, 7.7152 Å; angles 90.00, 90.96, 90.00 degrees
Last column: nearest neighbours and their distance in Å.
Fractional coordinates of all 8 atoms:
Tb 0.0000 0.0000 0.0000  7 Si 2.96-3.16
Tb 0.2401 0.5000 0.3602  7 Si 2.86-3.06
Tb 0.5046 0.5000 0.8559  7 Si 2.90-3.19
Hf 0.7381 0.0000 0.4983  7 Si 2.81-3.05
Si 0.2511 0.0000 0.6369  2 Si 2.50
Si 0.4950 0.0000 0.1477  2 Si 2.47
Si 0.7537 0.5000 0.2313  2 Si 2.47
Si 0.9812 0.5000 0.7068  2 Si 2.50

Crystalline TbHfSi2 at its relaxed geometry, computed with PBE.

Properties
Energy above the most stable polymorph in this dataset ... 3.2 kJ per mole of atoms
Total magnetization ... 0.00 μB per cell
Calculated total energy ... -28.430 eV/f.u.

Cell lengths 5.5122, 3.7963, 7.3986 Å; angles 90.00, 91.61, 90.00 degrees
Last column: nearest neighbours and their distance in Å.
Fractional coordinates of all 8 atoms:
Tb 0.1248 0.2500 0.1809  7 Si 2.84-3.03
Tb 0.8752 0.7500 0.8191  7 Si 2.84-3.03
Hf 0.3847 0.2500 0.6748  7 Si 2.76-3.07
Hf 0.6153 0.7500 0.3252  7 Si 2.76-3.07
Si 0.1437 0.7500 0.4669  2 Si 2.53, 3 Hf 2.76-2.83
Si 0.3692 0.7500 0.9539  2 Si 2.47
Si 0.6308 0.2500 0.0461  2 Si 2.47
Si 0.8563 0.2500 0.5331  2 Si 2.53, 3 Hf 2.76-2.83

Crystalline TbHfSi2 at its relaxed geometry, computed with PBE.

Properties
Energy above the most stable polymorph in this dataset ... 0.0 kJ per mole of atoms
Total magnetization ... 0.03 μB per cell
Calculated total energy ... -28.563 eV/f.u.

Cell lengths 3.7788, 7.5079, 5.4472 Å; angles 90.00, 90.00, 90.00 degrees
Last column: nearest neighbours and their distance in Å.
Fractional coordinates of all 8 atoms:
Tb 0.0000 0.0737 0.0000  7 Si 2.88-3.18
Tb 0.5000 0.9263 0.5000  7 Si 2.88-3.18
Hf 0.0000 0.5658 0.2587  7 Si 2.72-2.98
Hf 0.5000 0.4342 0.7587  7 Si 2.72-2.98
Si 0.0000 0.2276 0.5143  2 Si 2.48
Si 0.0000 0.6946 0.7411  2 Si 2.48, 2 Hf 2.72
Si 0.5000 0.3054 0.2411  2 Si 2.48, 2 Hf 2.72
Si 0.5000 0.7724 0.0143  2 Si 2.48

- Which of these has the highest total magnetization?
  number 4

- What is the calculated total energy in the first record?
  -20.775 eV/f.u.

Please write out number 4 again, unchanged.
Crystalline TbHfSi2 at its relaxed geometry, computed with PBE.

Properties
Energy above the most stable polymorph in this dataset ... 0.0 kJ per mole of atoms
Total magnetization ... 0.03 μB per cell
Calculated total energy ... -28.563 eV/f.u.

Cell lengths 3.7788, 7.5079, 5.4472 Å; angles 90.00, 90.00, 90.00 degrees
Last column: nearest neighbours and their distance in Å.
Fractional coordinates of all 8 atoms:
Tb 0.0000 0.0737 0.0000  7 Si 2.88-3.18
Tb 0.5000 0.9263 0.5000  7 Si 2.88-3.18
Hf 0.0000 0.5658 0.2587  7 Si 2.72-2.98
Hf 0.5000 0.4342 0.7587  7 Si 2.72-2.98
Si 0.0000 0.2276 0.5143  2 Si 2.48
Si 0.0000 0.6946 0.7411  2 Si 2.48, 2 Hf 2.72
Si 0.5000 0.3054 0.2411  2 Si 2.48, 2 Hf 2.72
Si 0.5000 0.7724 0.0143  2 Si 2.48